Entry 1:
Here is crystalline TaTi2AlCu at its relaxed geometry from Alexandria via LeMat-Bulk. Energies are from PBEsol.

Results
space group	P4/mmm
DFT total energy	-34.43	eV/cell
calculated formation energy	0.6392	eV per atom

Cell lengths 4.261, 4.533, 4.533 Å; angles 90.00, 90.00, 90.00 degrees
Fractional positions:
Cu 0.000 0.000 0.000
Ta 0.500 0.500 0.500
Ti 0.000 0.500 0.000
Ti 0.000 0.000 0.500
Al 0.500 0.000 0.000

---

Entry 2:
Here is crystalline HfSiP3 at its relaxed geometry from Alexandria via LeMat-Bulk. Energies are from PBEsol.

Results
space group	Pm-3m
DFT total energy	-31.76	eV/cell
formation energy (no corrections)	0.37	eV/atom

Cell lengths 4.434, 4.434, 4.434 Å; angles 90.00, 90.00, 90.00 degrees
Fractional positions:
P 0.000 0.000 0.500
P 0.500 0.000 0.000
P 0.000 0.500 0.000
Si 0.000 0.000 0.000
Hf 0.500 0.500 0.500

---

Entry 3:
Here is crystalline ZnCd3 at its relaxed geometry from Alexandria via LeMat-Bulk. Energies are from PBEsol.

Results
space group	Pm-3m
DFT total energy	-3.53	eV/cell
calculated formation energy	0.4096	eV per atom

Cell lengths 5.031, 5.031, 5.031 Å; angles 90.00, 90.00, 90.00 degrees
Fractional positions:
Zn 0.000 0.000 0.000
Cd 0.500 0.000 0.000
Cd 0.000 0.500 0.000
Cd 0.000 0.000 0.500

---

Entry 4:
Here is crystalline Na4SnO4 at its relaxed geometry from Alexandria via LeMat-Bulk. Energies are from PBEsol.

Results
space group	P-1
DFT total energy	-89.59	eV/cell
formation energy (no corrections)	-1.55	eV/atom

Cell lengths 5.872, 5.891, 8.844 Å; angles 82.28, 71.03, 68.72 degrees
Fractional positions:
Sn 0.659 0.278 0.235
Sn 0.341 0.722 0.765
Na 0.980 0.737 0.565
Na 0.113 0.721 0.195
Na 0.744 0.757 0.992
Na 0.438 0.248 0.596
Na 0.887 0.279 0.805
Na 0.020 0.263 0.435
Na 0.256 0.243 0.008
Na 0.562 0.752 0.404
O 0.200 0.986 0.620
O 0.649 0.159 0.043
O 0.876 0.483 0.194
O 0.124 0.517 0.806
O 0.679 0.520 0.628
O 0.351 0.841 0.957
O 0.800 0.014 0.380
O 0.321 0.480 0.372

---

Entry 5:
Here is crystalline PBr at its relaxed geometry from Alexandria via LeMat-Bulk. Energies are from PBEsol.

Results
ΔE to the lowest computed polymorph	0.196	eV/atom
space group	Cmcm
DFT total energy	-14.12	eV/cell
formation energy (no corrections)	0.30	eV/atom

Cell lengths 3.403, 4.293, 6.507 Å; angles 109.26, 90.00, 90.00 degrees
Fractional positions:
Br 0.750 0.133 0.265
Br 0.250 0.867 0.735
P 0.250 0.564 0.127
P 0.750 0.436 0.873

---

Entry 6:
Here is crystalline Os2W at its relaxed geometry from Alexandria via LeMat-Bulk. Energies are from PBEsol.

Results
ΔE to the lowest computed polymorph	0.111	eV/atom
space group	I4/mmm
DFT total energy	-37.89	eV/cell
calculated formation energy	0.1158	eV per atom

Cell lengths 2.735, 2.735, 6.168 Å; angles 102.81, 102.81, 90.00 degrees
Fractional positions:
Os 0.671 0.671 0.342
Os 0.329 0.329 0.658
W 0.000 0.000 0.000

---

Entry 7:
Here is crystalline HgWSe2 at its relaxed geometry from Alexandria via LeMat-Bulk. Energies are from PBEsol.

Results
space group	Cm
DFT total energy	-21.80	eV/cell
formation energy (no corrections)	0.07	eV/atom

Cell lengths 3.177, 5.605, 6.220 Å; angles 117.05, 90.00, 106.46 degrees
Fractional positions:
Se 0.179 0.358 0.675
Se 0.014 0.029 0.072
W 0.512 0.023 0.372
Hg 0.795 0.589 0.381

---

Entry 8:
Here is crystalline ScNi3Ir at its relaxed geometry from Alexandria via LeMat-Bulk. Energies are from PBEsol.

Results
space group	Pm-3m
DFT total energy	-31.07	eV/cell
calculated formation energy	0.7667	eV per atom

Cell lengths 4.452, 4.452, 4.452 Å; angles 90.00, 90.00, 90.00 degrees
Fractional positions:
Ni 0.000 0.500 0.000
Ni 0.000 0.000 0.500
Ni 0.500 0.000 0.000
Ir 0.000 0.000 0.000
Sc 0.500 0.500 0.500

---

Entry 9:
Here is crystalline BaWF7 at its relaxed geometry from Alexandria via LeMat-Bulk. Energies are from PBEsol.

Results
space group	P2_1/c
DFT total energy	-223.78	eV/cell
formation energy (no corrections)	-2.94	eV/atom

Cell lengths 5.480, 9.853, 10.228 Å; angles 90.00, 91.52, 90.00 degrees
Fractional positions:
F 0.391 0.043 0.882
F 0.540 0.693 0.244
F 0.759 0.805 0.519
F 0.893 0.959 0.861
F 0.324 0.945 0.372
F 0.759 0.695 0.019
F 0.122 0.958 0.621
F 0.324 0.555 0.872
F 0.241 0.305 0.981
F 0.878 0.458 0.879
F 0.609 0.957 0.118
F 0.893 0.541 0.361
F 0.122 0.542 0.121
F 0.460 0.307 0.756
F 0.107 0.041 0.139
F 0.540 0.807 0.744
F 0.107 0.459 0.639
F 0.241 0.195 0.481
F 0.878 0.042 0.379
F 0.609 0.543 0.618
F 0.391 0.457 0.382
F 0.676 0.445 0.128
F 0.460 0.193 0.256
F 0.982 0.238 0.763
F 0.018 0.762 0.237
F 0.982 0.262 0.263
F 0.018 0.738 0.737
F 0.676 0.055 0.628
Ba 0.303 0.829 0.991
Ba 0.303 0.671 0.491
Ba 0.697 0.171 0.009
Ba 0.697 0.329 0.509
W 0.827 0.893 0.685
W 0.173 0.393 0.815
W 0.173 0.107 0.315
W 0.827 0.607 0.185

---

Entry 10:
Here is crystalline CrAg2W at its relaxed geometry from Alexandria via LeMat-Bulk. Energies are from PBEsol.

Results
ΔE to the lowest computed polymorph	0.000	eV/atom
space group	P2/m
DFT total energy	-28.08	eV/cell
calculated formation energy	0.6489	eV per atom

Cell lengths 2.849, 4.462, 4.936 Å; angles 104.86, 90.00, 90.00 degrees
Fractional positions:
W 0.000 0.500 0.500
Ag 0.000 0.000 0.000
Ag 0.500 0.500 0.000
Cr 0.500 0.000 0.500

---

Entry 11:
Here is crystalline ZrTa2Rh at its relaxed geometry from Alexandria via LeMat-Bulk. Energies are from PBEsol.

Results
space group	I4/mmm
DFT total energy	-42.99	eV/cell
calculated formation energy	-0.1640	eV per atom

Cell lengths 3.876, 3.876, 5.430 Å; angles 110.91, 110.91, 90.00 degrees
Fractional positions:
Ta 0.750 0.250 0.500
Ta 0.250 0.750 0.500
Rh 0.000 0.000 0.000
Zr 0.500 0.500 0.000

---

Entry 12:
Here is crystalline Zr2AlAu at its relaxed geometry from Alexandria via LeMat-Bulk. Energies are from PBEsol.

Results
space group	Pmm2
DFT total energy	-28.07	eV/cell
calculated formation energy	-0.4676	eV per atom

Cell lengths 3.016, 4.869, 5.125 Å; angles 90.00, 90.04, 90.00 degrees
Fractional positions:
Zr 0.874 0.500 0.319
Zr 0.876 0.000 0.947
Al 0.375 0.000 0.444
Au 0.375 0.500 0.791